! ZnAg2Br | Alexandria via LeMat-Bulk | GGA-PBE | optimized geometry; values from VASP
! space-group type = Immm
! ρ = 7.0 g cm⁻³
! ΔE to the lowest computed polymorph = 0.140 eV/atom
! formation energy (no corrections) = 0.10 eV per atom
! raw total energy = -8.3 eV/cell
&SYSTEM
  ibrav = 0, nat = 4, ntyp = 3
/
ATOMIC_SPECIES
Ag 107.87 Ag.upf
Br 79.90 Br.upf
Zn 65.41 Zn.upf
ATOMIC_POSITIONS crystal
Ag 0.987 0.987 0.000
Br 0.250 0.750 0.500
Zn 0.750 0.250 0.500
Ag 0.513 0.513 0.000
CELL_PARAMETERS angstrom
-4.116 -1.051 3.709
1.428 -4.785 2.620
1.200 5.435 -0.905

***

! ZnAg2Br | Alexandria via LeMat-Bulk | GGA-PBE | optimized geometry; values from VASP
! space-group type = P2/m
! ρ = 6.9 g cm⁻³
! ΔE to the lowest computed polymorph = 0.033 eV/atom
! formation energy (no corrections) = -0.01 eV per atom
! raw total energy = -8.7 eV/cell
&SYSTEM
  ibrav = 0, nat = 4, ntyp = 3
/
ATOMIC_SPECIES
Br 79.90 Br.upf
Ag 107.87 Ag.upf
Zn 65.41 Zn.upf
ATOMIC_POSITIONS crystal
Br 0.500 0.250 0.250
Ag 0.000 0.248 0.558
Ag 0.000 0.252 0.942
Zn 0.500 0.750 0.750
CELL_PARAMETERS angstrom
-1.862 1.116 -2.865
2.322 -1.502 -2.094
-3.734 -5.896 0.130

***

! ZnAg3Br | Alexandria via LeMat-Bulk | GGA-PBE | optimized geometry; values from VASP
! space-group type = Pm-3m
! ρ = 6.3 g cm⁻³
! ΔE to the lowest computed polymorph = 0.000 eV/atom
! formation energy (no corrections) = 0.42 eV per atom
! raw total energy = -9.4 eV/cell
&SYSTEM
  ibrav = 0, nat = 5, ntyp = 3
/
ATOMIC_SPECIES
Br 79.90 Br.upf
Zn 65.41 Zn.upf
Ag 107.87 Ag.upf
ATOMIC_POSITIONS crystal
Br 0.500 0.500 0.500
Zn 0.000 0.000 0.000
Ag 0.000 0.500 0.000
Ag 0.500 0.000 0.000
Ag 0.000 0.000 0.500
CELL_PARAMETERS angstrom
-2.911 2.570 -3.114
-4.034 -2.021 2.103
-0.179 3.753 3.265

***

! Zn2AgBr | Alexandria via LeMat-Bulk | GGA-PBE | optimized geometry; values from VASP
! space-group type = P2/m
! ρ = 5.7 g cm⁻³
! ΔE to the lowest computed polymorph = 0.083 eV/atom
! formation energy (no corrections) = 0.03 eV per atom
! raw total energy = -7.0 eV/cell
&SYSTEM
  ibrav = 0, nat = 4, ntyp = 3
/
ATOMIC_SPECIES
Br 79.90 Br.upf
Zn 65.41 Zn.upf
Ag 107.87 Ag.upf
ATOMIC_POSITIONS crystal
Br 0.500 0.750 0.750
Zn 0.000 0.567 0.446
Zn 0.000 0.933 0.054
Ag 0.500 0.250 0.250
CELL_PARAMETERS angstrom
3.342 0.000 0.000
0.000 4.611 -0.086
0.000 1.412 5.970

***

Among the records above, which one has the lowest ρ? Zn2AgBr

***

Which value of ΔE to the lowest computed polymorph does entry 2 give? 0.033 eV/atom

***

Look up the formation energy (no corrections) of the second one. -0.01 eV per atom